(1)
The following is a GGA-PBE calculation of crystalline Ag2Ir at its relaxed geometry, from Alexandria.

As for the energy: -4.33 eV/atom. Its magnetization is 0.000 μB per cell.

Geometry as CIF:
```
data_Ag2Ir
_chemical_formula_sum 'Ag2 Ir1'
_space_group_name_H-M_alt 'P 4/m m m'
_space_group_IT_number 123
_space_group_name_Hall '-P 4 2'
_cell_length_a 4.841
_cell_length_b 4.841
_cell_length_c 2.648
_cell_angle_alpha 90.00
_cell_angle_beta 90.00
_cell_angle_gamma 90.00
loop_
_atom_site_label
_atom_site_type_symbol
_atom_site_fract_x
_atom_site_fract_y
_atom_site_fract_z
_atom_site_occupancy
Ag1 Ag 0.000 0.500 0.000 1
Ir1 Ir 0.000 0.000 0.500 1
```

=====

(2)
The following is a GGA-PBE calculation of crystalline AgIr2 at its relaxed geometry, from Alexandria.

As for the energy: -6.38 eV/atom. Its magnetization is 0.000 μB per cell.

Geometry as CIF:
```
data_AgIr2
_chemical_formula_sum 'Ag1 Ir2'
_space_group_name_H-M_alt 'P 6/m m m'
_space_group_IT_number 191
_space_group_name_Hall '-P 6 2'
_cell_length_a 4.4673
_cell_length_b 4.4673
_cell_length_c 2.7559
_cell_angle_alpha 90.00
_cell_angle_beta 90.00
_cell_angle_gamma 120.00
loop_
_atom_site_label
_atom_site_type_symbol
_atom_site_fract_x
_atom_site_fract_y
_atom_site_fract_z
_atom_site_occupancy
Ag1 Ag 0.0000 0.0000 0.0000 1
Ir1 Ir 0.3333 0.6667 0.5000 1
```

=====

(3)
The following is a GGA-PBE calculation of crystalline AgIr4 at its relaxed geometry, from Alexandria.

As for the energy: -7.37 eV/atom. Its magnetization is 0.000 μB per cell.

Geometry as CIF:
```
data_AgIr4
_chemical_formula_sum 'Ag2 Ir8'
_space_group_name_H-M_alt 'I 4/m'
_space_group_IT_number 87
_space_group_name_Hall '-I 4'
_cell_length_a 6.208
_cell_length_b 6.208
_cell_length_c 3.901
_cell_angle_alpha 90.00
_cell_angle_beta 90.00
_cell_angle_gamma 90.00
loop_
_atom_site_label
_atom_site_type_symbol
_atom_site_fract_x
_atom_site_fract_y
_atom_site_fract_z
_atom_site_occupancy
Ag1 Ag 0.000 0.000 0.000 1
Ir1 Ir 0.100 0.692 0.500 1
```

=====

(4)
The following is a GGA-PBE calculation of crystalline AgIr2 at its relaxed geometry, from Alexandria.

As for the energy: -5.24 eV/atom. Its magnetization is 0.000 μB per cell.

Geometry as CIF:
```
data_AgIr2
_chemical_formula_sum 'Ag4 Ir8'
_space_group_name_H-M_alt 'P a -3'
_space_group_IT_number 205
_space_group_name_Hall '-P 2ac 2ab 3'
_cell_length_a 6.162
_cell_length_b 6.162
_cell_length_c 6.162
_cell_angle_alpha 90.00
_cell_angle_beta 90.00
_cell_angle_gamma 90.00
loop_
_atom_site_label
_atom_site_type_symbol
_atom_site_fract_x
_atom_site_fract_y
_atom_site_fract_z
_atom_site_occupancy
Ag1 Ag 0.000 0.000 0.000 1
Ir1 Ir 0.109 0.609 0.891 1
```

=====

(5)
The following is a GGA-PBE calculation of crystalline Ag2Ir at its relaxed geometry, from Alexandria.

As for the energy: -4.55 eV/atom. Its magnetization is 0.000 μB per cell.

Geometry as CIF:
```
data_Ag2Ir
_chemical_formula_sum 'Ag8 Ir4'
_space_group_name_H-M_alt 'C 1 m 1'
_space_group_IT_number 8
_space_group_name_Hall 'C -2y'
_cell_length_a 10.780
_cell_length_b 2.802
_cell_length_c 6.920
_cell_angle_alpha 90.00
_cell_angle_beta 106.89
_cell_angle_gamma 90.00
loop_
_atom_site_label
_atom_site_type_symbol
_atom_site_fract_x
_atom_site_fract_y
_atom_site_fract_z
_atom_site_occupancy
Ag1 Ag 0.000 0.000 0.000 1
Ag2 Ag 0.044 0.000 0.615 1
Ag3 Ag 0.152 0.500 0.338 1
Ag4 Ag 0.321 0.000 0.668 1
Ir1 Ir 0.228 0.500 0.966 1
Ir2 Ir 0.369 0.000 0.263 1
```

=====

(6)
The following is a GGA-PBE calculation of crystalline Ag2Ir at its relaxed geometry, from Alexandria.

As for the energy: -4.59 eV/atom. Its magnetization is 0.000 μB per cell.

Geometry as CIF:
```
data_Ag2Ir
_chemical_formula_sum 'Ag8 Ir4'
_space_group_name_H-M_alt 'C m c m'
_space_group_IT_number 63
_space_group_name_Hall '-C 2c 2'
_cell_length_a 2.801
_cell_length_b 15.464
_cell_length_c 4.576
_cell_angle_alpha 90.00
_cell_angle_beta 90.00
_cell_angle_gamma 90.00
loop_
_atom_site_label
_atom_site_type_symbol
_atom_site_fract_x
_atom_site_fract_y
_atom_site_fract_z
_atom_site_occupancy
Ag1 Ag 0.000 0.058 0.250 1
Ag2 Ag 0.000 0.388 0.250 1
Ir1 Ir 0.000 0.270 0.750 1
```

=====

(7)
The following is a GGA-PBE calculation of crystalline AgIr at its relaxed geometry, from Alexandria.

As for the energy: -5.56 eV/atom. Its magnetization is 0.000 μB per cell.

Geometry as CIF:
```
data_AgIr
_chemical_formula_sum 'Ag6 Ir6'
_space_group_name_H-M_alt 'C 1 m 1'
_space_group_IT_number 8
_space_group_name_Hall 'C -2y'
_cell_length_a 10.162
_cell_length_b 2.770
_cell_length_c 7.284
_cell_angle_alpha 90.00
_cell_angle_beta 107.71
_cell_angle_gamma 90.00
loop_
_atom_site_label
_atom_site_type_symbol
_atom_site_fract_x
_atom_site_fract_y
_atom_site_fract_z
_atom_site_occupancy
Ag1 Ag 0.000 0.000 0.000 1
Ag2 Ag 0.141 0.500 0.341 1
Ag3 Ag 0.354 0.000 0.247 1
Ir1 Ir 0.031 0.000 0.614 1
Ir2 Ir 0.210 0.500 0.886 1
Ir3 Ir 0.321 0.000 0.657 1
```

=====

(8)
The following is a GGA-PBE calculation of crystalline Ag3Ir4 at its relaxed geometry, from Alexandria.

As for the energy: -6.05 eV/atom. Its magnetization is 0.000 μB per cell.

Geometry as CIF:
```
data_Ag3Ir4
_chemical_formula_sum 'Ag6 Ir8'
_space_group_name_H-M_alt 'I 4/m m m'
_space_group_IT_number 139
_space_group_name_Hall '-I 4 2'
_cell_length_a 2.780
_cell_length_b 2.780
_cell_length_c 28.915
_cell_angle_alpha 90.00
_cell_angle_beta 90.00
_cell_angle_gamma 90.00
loop_
_atom_site_label
_atom_site_type_symbol
_atom_site_fract_x
_atom_site_fract_y
_atom_site_fract_z
_atom_site_occupancy
Ag1 Ag 0.000 0.000 0.000 1
Ag2 Ag 0.000 0.000 0.289 1
Ir1 Ir 0.000 0.000 0.136 1
Ir2 Ir 0.000 0.000 0.424 1
```

=====

(9)
The following is a GGA-PBE calculation of crystalline AgIr2 at its relaxed geometry, from Alexandria.

As for the energy: -6.52 eV/atom. Its magnetization is 0.000 μB per cell.

Geometry as CIF:
```
data_AgIr2
_chemical_formula_sum 'Ag4 Ir8'
_space_group_name_H-M_alt 'C 1 m 1'
_space_group_IT_number 8
_space_group_name_Hall 'C -2y'
_cell_length_a 10.519
_cell_length_b 2.749
_cell_length_c 6.688
_cell_angle_alpha 90.00
_cell_angle_beta 106.27
_cell_angle_gamma 90.00
loop_
_atom_site_label
_atom_site_type_symbol
_atom_site_fract_x
_atom_site_fract_y
_atom_site_fract_z
_atom_site_occupancy
Ag1 Ag 0.000 0.000 0.000 1
Ag2 Ag 0.152 0.500 0.330 1
Ir1 Ir 0.040 0.000 0.614 1
Ir2 Ir 0.229 0.500 0.927 1
Ir3 Ir 0.326 0.000 0.656 1
Ir4 Ir 0.374 0.000 0.280 1
```

=====

(10)
The following is a GGA-PBE calculation of crystalline AgIr at its relaxed geometry, from Alexandria.

As for the energy: -5.27 eV/atom. Its magnetization is 0.706 μB per cell.

Geometry as CIF:
```
data_AgIr
_chemical_formula_sum 'Ag1 Ir1'
_space_group_name_H-M_alt 'P 4/m m m'
_space_group_IT_number 123
_space_group_name_Hall '-P 4 2'
_cell_length_a 2.709
_cell_length_b 2.709
_cell_length_c 4.398
_cell_angle_alpha 90.00
_cell_angle_beta 90.00
_cell_angle_gamma 90.00
loop_
_atom_site_label
_atom_site_type_symbol
_atom_site_fract_x
_atom_site_fract_y
_atom_site_fract_z
_atom_site_occupancy
Ag1 Ag 0.000 0.000 0.000 1
Ir1 Ir 0.500 0.500 0.500 1
```

=====

(11)
The following is a GGA-PBE calculation of crystalline KAgIr2 at its relaxed geometry, from Alexandria.

As for the energy: -4.83 eV/atom. Its magnetization is 0.001 μB per cell.

Geometry as CIF:
```
data_KAgIr2
_chemical_formula_sum 'K3 Ag3 Ir6'
_space_group_name_H-M_alt 'R 3 m'
_space_group_IT_number 160
_space_group_name_Hall 'R 3 -2"'
_cell_length_a 2.8388
_cell_length_b 2.8388
_cell_length_c 31.2647
_cell_angle_alpha 90.00
_cell_angle_beta 90.00
_cell_angle_gamma 120.00
loop_
_atom_site_label
_atom_site_type_symbol
_atom_site_fract_x
_atom_site_fract_y
_atom_site_fract_z
_atom_site_occupancy
K1 K 0.0000 0.0000 0.0000 1
Ag1 Ag 0.0000 0.0000 0.7637 1
Ir1 Ir 0.0000 0.0000 0.2423 1
Ir2 Ir 0.0000 0.0000 0.5082 1
```

=====

(12)
The following is a GGA-PBE calculation of crystalline KAgIr at its relaxed geometry, from Alexandria.

As for the energy: -3.61 eV/atom. Its magnetization is 0.745 μB per cell.

Geometry as CIF:
```
data_KAgIr
_chemical_formula_sum 'K2 Ag2 Ir2'
_space_group_name_H-M_alt 'I 4 m m'
_space_group_IT_number 107
_space_group_name_Hall 'I 4 -2'
_cell_length_a 2.821
_cell_length_b 2.821
_cell_length_c 15.366
_cell_angle_alpha 90.00
_cell_angle_beta 90.00
_cell_angle_gamma 90.00
loop_
_atom_site_label
_atom_site_type_symbol
_atom_site_fract_x
_atom_site_fract_y
_atom_site_fract_z
_atom_site_occupancy
K1 K 0.000 0.000 0.000 1
Ag1 Ag 0.000 0.000 0.695 1
Ir1 Ir 0.000 0.000 0.331 1
```

=====

Number 1: Fermi-level density of states 1.410 states/eV/cell, formation energy 0.524 eV per atom, ρ 10.916 g/cm³. Number 2: Fermi-level density of states 5.289 states/eV/cell, formation energy 0.481 eV per atom, ρ 17.163 g/cm³. Number 3: Fermi-level density of states 9.792 states/eV/cell, formation energy 0.289 eV per atom, ρ 19.368 g/cm³. Number 4: Fermi-level density of states 18.540 states/eV/cell, formation energy 1.623 eV per atom, ρ 13.973 g/cm³. Number 5: Fermi-level density of states 10.669 states/eV/cell, formation energy 0.303 eV per atom, ρ 13.549 g/cm³. Number 6: Fermi-level density of states 10.982 states/eV/cell, formation energy 0.263 eV per atom, ρ 13.672 g/cm³. Number 7: Fermi-level density of states 9.874 states/eV/cell, formation energy 0.298 eV per atom, ρ 15.310 g/cm³. Number 8: Fermi-level density of states 11.251 states/eV/cell, formation energy 0.236 eV per atom, ρ 16.242 g/cm³. Number 9: Fermi-level density of states 12.583 states/eV/cell, formation energy 0.343 eV per atom, ρ 17.610 g/cm³. Number 10: Fermi-level density of states 2.728 states/eV/cell, formation energy 0.585 eV per atom, ρ 15.435 g/cm³. Number 11: Fermi-level density of states 13.312 states/eV/cell, formation energy 0.587 eV per atom, ρ 12.132 g/cm³. Number 12: Fermi-level density of states 5.253 states/eV/cell, formation energy 0.663 eV per atom, ρ 9.212 g/cm³.